# TcAs2Br (PBE-GGA, relaxed)
data_TcAs2Br
_chemical_formula_sum 'Tc2 As4 Br2'
_space_group_name_H-M_alt 'C m m m'
_space_group_IT_number 65
_space_group_name_Hall '-C 2 2'
_cell_length_a 4.994
_cell_length_b 10.142
_cell_length_c 3.135
_cell_angle_alpha 90.00
_cell_angle_beta 90.00
_cell_angle_gamma 90.00
loop_
_atom_site_label
_atom_site_fract_x
_atom_site_fract_y
_atom_site_fract_z
Tc1 0.000 0.000 0.000
As1 0.000 0.195 0.500
Br1 0.000 0.500 0.000
# * uncorrected energy: -5.32 eV/atom
# * DOS(E_F): 4.54 states/eV/cell
# * raw formation energy: 0.013 eV/atom
# * polymorph energy (0 for the lowest one): 22.4 meV/atom